Below is an optimized crystal structure of RbZrMo3, with properties calculated at the PBE level.

a b c (Å): 4.7034 4.7034 4.7034
angles (deg): 90.00 90.00 90.00
Each line ends with the local moment (μB).
Element x y z (fractional)
Mo  0.0000  0.0000  0.5000  0.33
Rb  0.0000  0.0000  0.0000  0.00
Mo  0.0000  0.5000  0.0000  0.35
Mo  0.5000  0.0000  0.0000  0.23
Zr  0.5000  0.5000  0.5000  0.09

Crystal system: cubic
Formation energy (eV per atom): 2.850
E (eV/cell): -27.76
Magnetic moment (μB/atom): 0.233
Polymorph energy (0 for the lowest one) (meV/atom): 630.1